Ba12Pt3Rh5: relaxed, PBE-GGA.

The calculation puts the calculated formation energy at -0.16 eV/atom. Its density of states at the Fermi level is 13.722 states/eV/f.u.

The space group is Ia-3d (No. 230) and the conventional cell measures 18.365, 18.365 and 18.365 Å, with angles of 90.00, 90.00 and 90.00 degrees. The asymmetric unit holds Ba at (0.024, 0.064, 0.652), Pt at (0.000, 0.250, 0.125), Rh at (0.000, 0.000, 0.000) and Rh at (0.000, 0.250, 0.375).



BaPtRh2: relaxed, PBE-GGA.

The energy above the most stable polymorph in this dataset comes out at 0.5725 eV/atom. The calculation puts the calculated formation energy at 0.35 eV/atom. Its density of states at the Fermi level is 7.742 states/eV/f.u.

The space group is I4/mmm (No. 139) and the conventional cell measures 4.433, 4.433 and 7.998 Å, with angles of 90.00, 90.00 and 90.00 degrees. The asymmetric unit holds Ba at (0.000, 0.000, 0.000), Pt at (0.000, 0.000, 0.500) and Rh at (0.000, 0.500, 0.250).



Ba5PtRh: relaxed, PBE-GGA.

The calculation puts the calculated formation energy at -0.27 eV/atom. Its density of states at the Fermi level is 5.091 states/eV/f.u.

The space group is C2/c (No. 15) and the conventional cell measures 11.955, 10.080 and 11.757 Å, with angles of 90.00, 110.27 and 90.00 degrees. The asymmetric unit holds Ba at (0.000, 0.247, 0.250), Ba at (0.108, 0.188, 0.652), Ba at (0.186, 0.462, 0.006), Pt at (0.000, 0.437, 0.750) and Rh at (0.250, 0.250, 0.500).



BaPtRh2: relaxed, PBE-GGA.

The energy above the most stable polymorph in this dataset comes out at 0.3569 eV/atom. The calculation puts the calculated formation energy at 0.13 eV/atom. Its density of states at the Fermi level is 6.414 states/eV/f.u.

The space group is Pmm2 (No. 25) and the conventional cell measures 2.991, 3.721 and 7.318 Å, with angles of 90.00, 90.00 and 90.00 degrees. The asymmetric unit holds Ba at (0.000, 0.000, 0.000), Pt at (0.500, 0.500, 0.308), Rh at (0.000, 0.000, 0.514) and Rh at (0.500, 0.500, 0.673).



Ba6Pt2Rh: relaxed, PBE-GGA.

The calculation puts the calculated formation energy at -0.47 eV/atom. Its density of states at the Fermi level is 6.293 states/eV/f.u.

The space group is P2_1/c (No. 14) and the conventional cell measures 7.926, 7.456 and 15.613 Å, with angles of 90.00, 120.51 and 90.00 degrees. The asymmetric unit holds Ba at (0.003, 0.237, 0.335), Ba at (0.329, 0.718, 0.000), Ba at (0.332, 0.239, 0.664), Pt at (0.323, 0.501, 0.823) and Rh at (0.000, 0.000, 0.500).



BaPt2Rh2: relaxed, PBE-GGA.

The energy above the most stable polymorph in this dataset comes out at 0.0831 eV/atom. The calculation puts the calculated formation energy at 0.02 eV/atom. Its density of states at the Fermi level is 9.918 states/eV/f.u.

The space group is P4/mbm (No. 127) and the conventional cell measures 8.041, 8.041 and 2.903 Å, with angles of 90.00, 90.00 and 90.00 degrees. The asymmetric unit holds Ba at (0.000, 0.000, 0.000), Pt at (0.121, 0.379, 0.000) and Rh at (0.177, 0.677, 0.500).



BaPtRh2: relaxed, PBE-GGA.

The energy above the most stable polymorph in this dataset comes out at 0.0033 eV/atom. The calculation puts the calculated formation energy at -0.22 eV/atom. Its density of states at the Fermi level is 5.583 states/eV/f.u.

The space group is C2/m (No. 12) and the conventional cell measures 7.830, 4.519 and 6.078 Å, with angles of 90.00, 115.34 and 90.00 degrees. The asymmetric unit holds Ba at (0.000, 0.000, 0.000), Pt at (0.000, 0.500, 0.500) and Rh at (0.185, 0.000, 0.554).



BaPt2Rh2: relaxed, PBE-GGA.

The energy above the most stable polymorph in this dataset comes out at 0.0028 eV/atom. The calculation puts the calculated formation energy at -0.06 eV/atom. Its density of states at the Fermi level is 8.687 states/eV/f.u.

The space group is I4/mmm (No. 139) and the conventional cell measures 4.492, 4.492 and 10.515 Å, with angles of 90.00, 90.00 and 90.00 degrees. The asymmetric unit holds Ba at (0.000, 0.000, 0.000), Pt at (0.000, 0.000, 0.379) and Rh at (0.000, 0.500, 0.250).



BaPtRh2: relaxed, PBE-GGA.

The energy above the most stable polymorph in this dataset comes out at 0.5565 eV/atom. The calculation puts the calculated formation energy at 0.33 eV/atom. Its density of states at the Fermi level is 4.784 states/eV/f.u.

The space group is Cmmm (No. 65) and the conventional cell measures 6.135, 8.211 and 3.061 Å, with angles of 90.00, 90.00 and 90.00 degrees. The asymmetric unit holds Ba at (0.000, 0.000, 0.000), Pt at (0.000, 0.500, 0.000) and Rh at (0.250, 0.250, 0.500).



BaPtRh2: relaxed, PBE-GGA.

The energy above the most stable polymorph in this dataset comes out at 0.8647 eV/atom. The calculation puts the calculated formation energy at 0.64 eV/atom. Its density of states at the Fermi level is 5.368 states/eV/f.u.

The space group is R-3m (No. 166, hexagonal axes) and the conventional cell measures 3.0709, 3.0709 and 28.5947 Å, with angles of 90.00, 90.00 and 120.00 degrees. The asymmetric unit holds Ba at (0.0000, 0.0000, 0.0000), Pt at (0.0000, 0.0000, 0.5000) and Rh at (0.0000, 0.0000, 0.2372).



Ba2Sb3Pt4Rh: relaxed, PBE-GGA.

Its density of states at the Fermi level is 8.109 states/eV/f.u. For the formation energy from raw total energies, the calculation gives -0.643 eV/atom.

The space group is P-4m2 (No. 115) and the conventional cell measures 4.730, 4.730 and 10.643 Å, with angles of 90.00, 90.00 and 90.00 degrees. The asymmetric unit holds Ba at (0.000, 0.500, 0.245), Sb at (0.000, 0.000, 0.000), Sb at (0.000, 0.500, 0.626), Pt at (0.000, 0.000, 0.500), Pt at (0.000, 0.500, 0.880), Pt at (0.500, 0.500, 0.500) and Rh at (0.500, 0.500, 0.000).



Ba2Sb4PtRh3: relaxed, PBE-GGA.

Its density of states at the Fermi level is 5.388 states/eV/f.u. For the formation energy from raw total energies, the calculation gives -0.724 eV/atom.

The space group is P-4m2 (No. 115) and the conventional cell measures 4.733, 4.733 and 10.673 Å, with angles of 90.00, 90.00 and 90.00 degrees. The asymmetric unit holds Ba at (0.000, 0.500, 0.250), Sb at (0.000, 0.000, 0.000), Sb at (0.000, 0.500, 0.625), Sb at (0.500, 0.500, 0.000), Pt at (0.000, 0.000, 0.500), Rh at (0.000, 0.500, 0.879) and Rh at (0.500, 0.500, 0.500).



Ba8SbPt2Rh: relaxed, PBE-GGA.

Its density of states at the Fermi level is 10.020 states/eV/f.u. For the formation energy from raw total energies, the calculation gives -0.518 eV/atom.

The space group is P2/m (No. 10) and the conventional cell measures 7.587, 9.740 and 7.644 Å, with angles of 90.00, 91.20 and 90.00 degrees. The asymmetric unit holds Ba at (0.208, 0.000, 0.336), Ba at (0.224, 0.500, 0.320), Ba at (0.277, 0.274, 0.821), Sb at (0.500, 0.000, 0.000), Pt at (0.000, 0.253, 0.500) and Rh at (0.500, 0.500, 0.000).



Ba2Si3Pt12Rh: relaxed, PBE-GGA.

Its density of states at the Fermi level is 14.999 states/eV/f.u. For the formation energy from raw total energies, the calculation gives -0.263 eV/atom.

The space group is R-3m (No. 166, hexagonal axes) and the conventional cell measures 8.2153, 8.2153 and 19.6267 Å, with angles of 90.00, 90.00 and 120.00 degrees. The asymmetric unit holds Ba at (0.0000, 0.0000, 0.1173), Si at (0.0000, 0.5000, 0.0000), Pt at (0.0060, 0.5030, 0.1181), Pt at (0.0343, 0.5172, 0.3674) and Rh at (0.0000, 0.0000, 0.5000).



Ba8SnPt2Rh: relaxed, PBE-GGA.

The calculation puts the calculated formation energy at -0.44 eV/atom. Its density of states at the Fermi level is 8.375 states/eV/f.u.

The space group is P2/m (No. 10) and the conventional cell measures 7.550, 9.832 and 7.629 Å, with angles of 90.00, 91.50 and 90.00 degrees. The asymmetric unit holds Ba at (0.205, 0.000, 0.338), Ba at (0.221, 0.500, 0.318), Ba at (0.280, 0.276, 0.819), Sn at (0.500, 0.000, 0.000), Pt at (0.000, 0.254, 0.500) and Rh at (0.500, 0.500, 0.000).



Ba2Sr6PtRh: relaxed, PBE-GGA.

The calculation puts the calculated formation energy at -0.28 eV/atom. Its density of states at the Fermi level is 8.903 states/eV/f.u.

The space group is Cm (No. 8) and the conventional cell measures 12.127, 12.141 and 8.578 Å, with angles of 90.00, 134.89 and 90.00 degrees. The asymmetric unit holds Ba at (0.000, 0.250, 0.000), Sr at (0.000, 0.249, 0.499), Sr at (0.247, 0.000, 0.995), Sr at (0.248, 0.000, 0.499), Sr at (0.251, 0.500, 0.001), Sr at (0.251, 0.500, 0.499), Pt at (0.499, 0.000, 0.498) and Rh at (0.499, 0.500, 0.498).



BaPtRhW2: relaxed, PBE-GGA.

The calculation puts the calculated formation energy at 3.57 eV/atom. Its density of states at the Fermi level is 8.390 states/eV/f.u.

The space group is P4/mmm (No. 123) and the conventional cell measures 4.983, 4.983 and 5.022 Å, with angles of 90.00, 90.00 and 90.00 degrees. The asymmetric unit holds Ba at (0.000, 0.000, 0.000), Pt at (0.000, 0.000, 0.500), Rh at (0.500, 0.500, 0.500) and W at (0.000, 0.500, 0.000).



Ba2Zn6PtRh: relaxed, PBE-GGA.

The calculation puts the calculated formation energy at -0.40 eV/atom. Its density of states at the Fermi level is 4.198 states/eV/f.u.

The space group is I4/mmm (No. 139) and the conventional cell measures 6.967, 6.967 and 9.886 Å, with angles of 90.00, 90.00 and 90.00 degrees. The asymmetric unit holds Ba at (0.000, 0.500, 0.250), Zn at (0.000, 0.000, 0.248), Zn at (0.248, 0.248, 0.000), Pt at (0.000, 0.000, 0.500) and Rh at (0.000, 0.000, 0.000).



Ba8ZnPt2Rh: relaxed, PBE-GGA.

The calculation puts the calculated formation energy at -0.38 eV/atom. Its density of states at the Fermi level is 6.048 states/eV/f.u.

The space group is P2/m (No. 10) and the conventional cell measures 7.510, 9.491 and 7.698 Å, with angles of 90.00, 90.84 and 90.00 degrees. The asymmetric unit holds Ba at (0.212, 0.000, 0.339), Ba at (0.231, 0.500, 0.319), Ba at (0.271, 0.268, 0.822), Zn at (0.500, 0.000, 0.000), Pt at (0.000, 0.255, 0.500) and Rh at (0.500, 0.500, 0.000).



Ba2RuPt: relaxed, PBE-GGA.

The calculation puts the calculated formation energy at -0.03 eV/atom. Its density of states at the Fermi level is 2.153 states/eV/f.u.

The space group is Imm2 (No. 44) and the conventional cell measures 4.568, 4.616 and 14.767 Å, with angles of 90.00, 90.00 and 90.00 degrees. The asymmetric unit holds Ba at (0.000, 0.000, 0.000), Ba at (0.000, 0.500, 0.262), Ru at (0.000, 0.000, 0.405) and Pt at (0.000, 0.500, 0.848).